Entry 1:
A plane-wave DFT calculation with GGA-PBE was carried out for TlBCl2 after structural relaxation.

Structure (POSCAR):
```
TlBCl2
1.0
4.367 -0.892 -2.594
2.068 -4.724 -0.020
-0.092 -2.837 -4.305
Cl B Tl
2 1 1
Direct
0.750 0.750 0.750
0.250 0.250 0.250
0.000 0.000 0.000
0.500 0.500 0.500
```

Calculated values
Total energy, eV/atom: -2.67
E above lowest polymorph, eV per atom: 0.3181
Mass density, g cm⁻³: 4.90

---

Entry 2:
A plane-wave DFT calculation with GGA-PBE was carried out for TlBCl4 after structural relaxation.

Structure (POSCAR):
```
TlBCl4
1.0
-10.489 3.093 -1.372
-0.435 -0.540 4.364
2.711 9.852 1.490
Cl Tl B
8 2 2
Direct
0.826 0.039 0.750
0.387 0.267 0.104
0.613 0.733 0.604
0.387 0.267 0.396
0.104 0.515 0.750
0.613 0.733 0.896
0.896 0.485 0.250
0.174 0.961 0.250
0.738 0.960 0.250
0.262 0.040 0.750
0.687 0.837 0.750
0.313 0.163 0.250
```

Calculated values
Total energy, eV/atom: -3.64
E above lowest polymorph, eV per atom: 0.0951
Mass density, g cm⁻³: 2.36

---

Entry 3:
A plane-wave DFT calculation with GGA-PBE was carried out for TlBCl2 after structural relaxation.

Structure (POSCAR):
```
TlBCl2
1.0
5.055 0.000 0.000
2.528 4.378 0.000
2.528 1.459 4.127
B Tl Cl
1 1 2
Direct
0.500 0.500 0.500
0.750 0.750 0.750
0.250 0.250 0.250
0.000 0.000 0.000
```

Calculated values
Total energy, eV/atom: -2.46
E above lowest polymorph, eV per atom: 0.5336
Mass density, g cm⁻³: 5.20

---

Entry 4:
A plane-wave DFT calculation with GGA-PBE was carried out for TlBCl3 after structural relaxation.

Structure (POSCAR):
```
TlBCl3
1.0
-5.970 -3.459 0.601
2.426 -3.059 6.496
-3.737 8.057 5.190
Tl Cl B
4 12 4
Direct
0.470 0.914 0.751
0.030 0.414 0.749
0.970 0.586 0.251
0.530 0.086 0.249
0.546 0.468 0.775
0.336 0.230 0.964
0.664 0.770 0.036
0.454 0.532 0.225
0.836 0.270 0.464
0.164 0.730 0.536
0.954 0.968 0.725
0.046 0.032 0.275
0.234 0.695 0.991
0.734 0.805 0.491
0.766 0.305 0.009
0.266 0.195 0.509
0.029 0.090 0.453
0.529 0.410 0.953
0.471 0.590 0.047
0.971 0.910 0.547
```

Calculated values
Total energy, eV/atom: -3.83
E above lowest polymorph, eV per atom: 0.0000
Mass density, g cm⁻³: 3.96

---

Entry 5:
A plane-wave DFT calculation with GGA-PBE was carried out for Tl3BCl after structural relaxation.

Structure (POSCAR):
```
Tl3BCl
1.0
5.096 0.000 0.000
0.000 5.096 0.000
0.000 0.000 5.096
Tl B Cl
3 1 1
Direct
0.000 0.000 0.500
0.500 0.000 0.000
0.000 0.500 0.000
0.000 0.000 0.000
0.500 0.500 0.500
```

Calculated values
Total energy, eV/atom: -2.87
E above lowest polymorph, eV per atom: 0.0000
Mass density, g cm⁻³: 8.28

---

Entry 6:
A plane-wave DFT calculation with GGA-PBE was carried out for TlB2Cl6 after structural relaxation.

Structure (POSCAR):
```
TlB2Cl6
1.0
6.950 -0.116 -0.112
1.796 9.506 -0.371
1.796 -0.063 9.513
Cl Tl B
12 2 4
Direct
0.165 0.300 0.223
0.885 0.739 0.462
0.385 0.462 0.739
0.335 0.777 0.700
0.615 0.538 0.261
0.727 0.336 0.006
0.835 0.700 0.777
0.665 0.223 0.300
0.227 0.006 0.336
0.273 0.664 0.994
0.773 0.994 0.664
0.115 0.261 0.538
0.250 0.017 0.983
0.750 0.983 0.017
0.831 0.810 0.633
0.669 0.367 0.190
0.331 0.633 0.810
0.169 0.190 0.367
```

Calculated values
Total energy, eV/atom: -3.73
Mass density, g cm⁻³: 2.30

---

Entry 7:
A plane-wave DFT calculation with GGA-PBE was carried out for TlBCl2 after structural relaxation.

Structure (POSCAR):
```
TlBCl2
1.0
9.089 3.761 4.971
9.962 0.508 4.686
10.492 2.632 2.111
Tl Cl B
1 2 1
Direct
0.500 0.500 0.500
0.052 0.052 0.052
0.948 0.948 0.948
0.000 0.000 0.000
```

Calculated values
Total energy, eV/atom: -2.99
E above lowest polymorph, eV per atom: 0.0000
Mass density, g cm⁻³: 4.43

---

Entry 8:
A plane-wave DFT calculation with GGA-PBE was carried out for TlBCl3 after structural relaxation.

Structure (POSCAR):
```
TlBCl3
1.0
-2.059 -0.350 -4.981
-0.650 -5.323 0.642
-4.950 0.844 1.987
Cl B Tl
3 1 1
Direct
0.500 0.000 0.000
0.000 0.500 0.000
0.000 0.000 0.500
0.500 0.500 0.500
0.000 0.000 0.000
```

Calculated values
Total energy, eV/atom: -2.37
E above lowest polymorph, eV per atom: 1.4638
Mass density, g cm⁻³: 3.39

---

Entry 9:
A plane-wave DFT calculation with GGA-PBE was carried out for TlB2Cl8 after structural relaxation.

Structure (POSCAR):
```
TlB2Cl8
1.0
-5.568 -2.011 -1.126
1.166 -3.550 -6.961
0.854 -7.629 1.867
B Cl Tl
2 8 1
Direct
0.330 0.206 0.206
0.670 0.794 0.794
0.736 0.710 0.025
0.264 0.290 0.975
0.181 0.350 0.350
0.645 0.205 0.205
0.355 0.795 0.795
0.819 0.650 0.650
0.264 0.975 0.290
0.736 0.025 0.710
0.000 0.000 0.000
```

Calculated values
Total energy, eV/atom: -3.60
E above lowest polymorph, eV per atom: 0.0000
Mass density, g cm⁻³: 2.38

---

Entry 10:
A plane-wave DFT calculation with GGA-PBE was carried out for TlB3Cl after structural relaxation.

Structure (POSCAR):
```
TlB3Cl
1.0
-0.775 0.001 4.646
3.175 -3.438 0.530
3.392 3.219 0.565
Tl B Cl
1 3 1
Direct
0.000 0.000 0.000
0.000 0.500 0.000
0.500 0.000 0.000
0.000 0.000 0.500
0.500 0.500 0.500
```

Calculated values
Total energy, eV/atom: -2.51
E above lowest polymorph, eV per atom: 0.0277
Mass density, g cm⁻³: 4.33

---

Entry 11:
A plane-wave DFT calculation with GGA-PBE was carried out for TlBCl3 after structural relaxation.

Structure (POSCAR):
```
TlBCl3
1.0
4.690 0.000 0.000
0.000 4.690 0.000
0.000 0.000 4.690
Cl B Tl
3 1 1
Direct
0.500 0.000 0.000
0.000 0.000 0.500
0.000 0.500 0.000
0.000 0.000 0.000
0.500 0.500 0.500
```

Calculated values
Total energy, eV/atom: -3.03
E above lowest polymorph, eV per atom: 0.8053
Mass density, g cm⁻³: 5.18

---

Entry 12:
A plane-wave DFT calculation with GGA-PBE was carried out for TlBCl2 after structural relaxation.

Structure (POSCAR):
```
TlBCl2
1.0
1.970 0.000 8.937
-0.985 1.706 8.937
-0.985 -1.706 8.937
Cl B Tl
2 1 1
Direct
0.116 0.116 0.116
0.884 0.884 0.884
0.500 0.500 0.500
0.000 0.000 0.000
```

Calculated values
Total energy, eV/atom: -2.74
E above lowest polymorph, eV per atom: 0.2496
Mass density, g cm⁻³: 5.27

---

Entry 13:
A plane-wave DFT calculation with GGA-PBE was carried out for TlBCl2 after structural relaxation.

Structure (POSCAR):
```
TlBCl2
1.0
6.782 0.000 0.000
0.000 6.782 0.000
3.391 3.391 4.813
Cl B Tl
4 2 2
Direct
0.375 0.625 0.250
0.375 0.125 0.250
0.875 0.625 0.750
0.375 0.625 0.750
0.500 0.500 0.000
0.250 0.750 0.500
0.000 0.000 0.000
0.750 0.250 0.500
```

Calculated values
Total energy, eV/atom: -2.90
E above lowest polymorph, eV per atom: 0.0893
Mass density, g cm⁻³: 4.29

---

Entry 14:
A plane-wave DFT calculation with GGA-PBE was carried out for TlB3Cl after structural relaxation.

Structure (POSCAR):
```
TlB3Cl
1.0
-0.387 3.643 -1.867
-2.959 1.047 2.656
2.829 1.594 2.523
B Tl Cl
3 1 1
Direct
0.500 0.000 0.000
0.000 0.000 0.500
0.000 0.500 0.000
0.500 0.500 0.500
0.000 0.000 0.000
```

Calculated values
Total energy, eV/atom: -2.54
E above lowest polymorph, eV per atom: 0.0000
Mass density, g cm⁻³: 6.50

---

Entry 15:
A plane-wave DFT calculation with GGA-PBE was carried out for Tl2B2Cl7 after structural relaxation.

Structure (POSCAR):
```
Tl2B2Cl7
1.0
-5.750 1.225 3.979
-1.730 -4.873 -4.864
3.639 -10.224 8.703
Cl Tl B
14 4 4
Direct
0.444 0.932 0.357
0.863 0.922 0.398
0.780 0.220 0.250
0.932 0.444 0.857
0.137 0.078 0.602
0.556 0.068 0.643
0.235 0.330 0.290
0.330 0.235 0.790
0.078 0.137 0.102
0.670 0.765 0.210
0.922 0.863 0.898
0.220 0.780 0.750
0.765 0.670 0.710
0.068 0.556 0.143
0.741 0.474 0.497
0.259 0.526 0.503
0.474 0.741 0.997
0.526 0.259 0.003
0.316 0.063 0.693
0.063 0.316 0.193
0.684 0.937 0.307
0.937 0.684 0.807
```

Calculated values
Total energy, eV/atom: -3.61
E above lowest polymorph, eV per atom: 0.0000
Mass density, g cm⁻³: 3.38

---

Entry 16:
A plane-wave DFT calculation with GGA-PBE was carried out for TlB2Cl after structural relaxation.

Structure (POSCAR):
```
TlB2Cl
1.0
2.949 3.146 1.627
-0.948 2.240 3.915
2.441 -0.882 3.809
Cl Tl B
1 1 2
Direct
0.000 0.000 0.000
0.500 0.500 0.500
0.750 0.750 0.750
0.250 0.250 0.250
```

Calculated values
Total energy, eV/atom: -2.52
E above lowest polymorph, eV per atom: 0.4360
Mass density, g cm⁻³: 6.27

---

Entry 17:
A plane-wave DFT calculation with GGA-PBE was carried out for Tl2B2Cl7 after structural relaxation.

Structure (POSCAR):
```
Tl2B2Cl7
1.0
5.903 0.847 0.968
0.517 7.847 0.323
0.517 -0.724 7.821
Cl B Tl
7 2 2
Direct
0.211 0.393 0.123
0.500 0.000 0.000
0.353 0.739 0.739
0.647 0.261 0.261
0.789 0.607 0.877
0.211 0.123 0.393
0.789 0.877 0.607
0.619 0.782 0.782
0.381 0.218 0.218
0.000 0.838 0.162
0.000 0.162 0.838
```

Calculated values
Total energy, eV/atom: -3.56
E above lowest polymorph, eV per atom: 0.0490
Mass density, g cm⁻³: 3.16

---

Entry 18:
A plane-wave DFT calculation with GGA-PBE was carried out for TlBCl4 after structural relaxation.

Structure (POSCAR):
```
TlBCl4
1.0
6.177 -1.101 0.000
-4.274 6.989 0.000
0.000 0.000 9.658
Tl B Cl
2 2 8
Direct
0.958 0.676 0.750
0.042 0.324 0.250
0.919 0.148 0.750
0.081 0.852 0.250
0.254 0.197 0.750
0.100 0.728 0.406
0.611 0.846 0.750
0.100 0.728 0.094
0.746 0.803 0.250
0.900 0.272 0.906
0.900 0.272 0.594
0.389 0.154 0.250
```

Calculated values
Total energy, eV/atom: -3.74
E above lowest polymorph, eV per atom: 0.0000
Mass density, g cm⁻³: 3.19

---

Entry 19:
A plane-wave DFT calculation with GGA-PBE was carried out for TlB2Cl after structural relaxation.

Structure (POSCAR):
```
TlB2Cl
1.0
-4.935 -0.443 1.883
1.507 -4.115 2.981
-0.468 1.122 6.498
B Tl Cl
4 2 2
Direct
0.375 0.371 0.750
0.629 0.125 0.250
0.121 0.625 0.250
0.875 0.879 0.750
0.000 0.000 0.000
0.750 0.250 0.500
0.500 0.500 0.000
0.250 0.750 0.500
```

Calculated values
Total energy, eV/atom: -2.95
E above lowest polymorph, eV per atom: 0.0000
Mass density, g cm⁻³: 5.68

---

Entry 20:
A plane-wave DFT calculation with GGA-PBE was carried out for Tm2BCl after structural relaxation.

Structure (POSCAR):
```
Tm2BCl
1.0
-1.634 3.383 0.452
-2.397 0.575 2.871
3.733 3.258 4.959
B Tm Cl
1 2 1
Direct
0.000 0.000 0.000
0.269 0.269 0.193
0.731 0.731 0.807
0.500 0.500 0.500
```

Calculated values
Total energy, eV/atom: -5.28
Mass density, g cm⁻³: 7.72

---

Entry 21:
A plane-wave DFT calculation with GGA-PBE was carried out for Tm7BCl12 after structural relaxation.

Structure (POSCAR):
```
Tm7BCl12
1.0
8.134 -0.165 -2.469
-3.285 7.443 -2.469
-0.110 -0.165 8.500
Tm Cl B
7 12 1
Direct
0.500 0.500 0.500
0.968 0.684 0.892
0.316 0.108 0.032
0.108 0.032 0.316
0.032 0.316 0.108
0.684 0.892 0.968
0.892 0.968 0.684
0.077 0.687 0.224
0.224 0.077 0.687
0.531 0.840 0.613
0.387 0.469 0.160
0.160 0.387 0.469
0.687 0.224 0.077
0.923 0.313 0.776
0.313 0.776 0.923
0.613 0.531 0.840
0.469 0.160 0.387
0.840 0.613 0.531
0.776 0.923 0.313
0.000 0.000 0.000
```

Calculated values
Total energy, eV/atom: -4.87
Mass density, g cm⁻³: 5.34

---

Entry 22:
A plane-wave DFT calculation with GGA-PBE was carried out for Tm4BCl5 after structural relaxation.

Structure (POSCAR):
```
Tm4BCl5
1.0
3.669 0.000 -0.807
0.007 7.702 0.033
0.197 -0.009 9.640
Tm Cl B
4 5 1
Direct
0.000 0.217 0.000
0.626 0.999 0.252
0.000 0.783 0.000
0.374 0.001 0.748
0.500 0.500 0.000
0.149 0.757 0.299
0.149 0.241 0.299
0.851 0.759 0.701
0.851 0.243 0.701
0.500 0.000 0.000
```

Calculated values
Total energy, eV/atom: -4.99
Mass density, g cm⁻³: 5.24

---

Entry 23:
A plane-wave DFT calculation with GGA-PBE was carried out for UBCl after structural relaxation.

Structure (POSCAR):
```
UBCl
1.0
-2.852 0.265 -1.530
2.386 -1.771 -1.309
-4.665 -8.424 7.236
B U Cl
2 2 2
Direct
0.834 0.667 0.001
0.166 0.333 0.999
0.558 0.117 0.162
0.442 0.883 0.838
0.288 0.575 0.337
0.712 0.425 0.663
```

Calculated values
Total energy, eV/atom: -7.52
Mass density, g cm⁻³: 8.71